## Pu4SbAs3 (PBE)

Data for Pu4SbAs3 after structural relaxation.

The structure in CIF format:
```
data_Pu4SbAs3
_cell_length_a 5.964
_cell_length_b 5.964
_cell_length_c 5.964
_cell_angle_alpha 90.00
_cell_angle_beta 90.00
_cell_angle_gamma 90.00
_symmetry_space_group_name_H-M 'P m -3 m'
_symmetry_Int_Tables_number 221
_symmetry_space_group_name_Hall '-P 4 2 3'
loop_
_atom_site_label
_atom_site_type_symbol
_atom_site_fract_x
_atom_site_fract_y
_atom_site_fract_z
_atom_site_occupancy
Pu1 Pu 0.000 0.000 0.000 1
Pu2 Pu 0.000 0.500 0.500 1
Sb1 Sb 0.500 0.500 0.500 1
As1 As 0.000 0.000 0.500 1
```

Output
The total energy is -10.29 eV per atom. The uncorrected formation energy is -0.86 eV/atom.

---

## SrHfTiSnO6 (PBE)

Data for SrHfTiSnO6 after structural relaxation.

The structure in CIF format:
```
data_SrHfTiSnO6
_cell_length_a 8.081
_cell_length_b 8.081
_cell_length_c 8.081
_cell_angle_alpha 90.00
_cell_angle_beta 90.00
_cell_angle_gamma 90.00
_symmetry_space_group_name_H-M 'F -4 3 m'
_symmetry_Int_Tables_number 216
_symmetry_space_group_name_Hall 'F -4 2 3'
loop_
_atom_site_label
_atom_site_type_symbol
_atom_site_fract_x
_atom_site_fract_y
_atom_site_fract_z
_atom_site_occupancy
Sr1 Sr 0.000 0.000 0.000 1
Hf1 Hf 0.250 0.250 0.250 1
Ti1 Ti 0.250 0.250 0.750 1
Sn1 Sn 0.000 0.000 0.500 1
O1 O 0.006 0.250 0.750 1
```

Output
The total energy is -8.11 eV per atom. The uncorrected formation energy is -2.78 eV/atom.

---

Copy entry 2 word for word.
## SrHfTiSnO6 (PBE)

Data for SrHfTiSnO6 after structural relaxation.

The structure in CIF format:
```
data_SrHfTiSnO6
_cell_length_a 8.081
_cell_length_b 8.081
_cell_length_c 8.081
_cell_angle_alpha 90.00
_cell_angle_beta 90.00
_cell_angle_gamma 90.00
_symmetry_space_group_name_H-M 'F -4 3 m'
_symmetry_Int_Tables_number 216
_symmetry_space_group_name_Hall 'F -4 2 3'
loop_
_atom_site_label
_atom_site_type_symbol
_atom_site_fract_x
_atom_site_fract_y
_atom_site_fract_z
_atom_site_occupancy
Sr1 Sr 0.000 0.000 0.000 1
Hf1 Hf 0.250 0.250 0.250 1
Ti1 Ti 0.250 0.250 0.750 1
Sn1 Sn 0.000 0.000 0.500 1
O1 O 0.006 0.250 0.750 1
```

Output
The total energy is -8.11 eV per atom. The uncorrected formation energy is -2.78 eV/atom.